Record 1
This record from Alexandria via LeMat-Bulk describes crystalline La2CeTh at its relaxed geometry. The functional is PBE.

Space-group type: Fm-3m (225)
Magnetization (μB/atom): 0.2893
E_tot (eV/atom): -5.549
E above lowest polymorph (kJ per mole of atoms): 22.1
Mass density (Mg/m³): 8.0
Formation enthalpy at 0 K (kJ/mol of atoms): 24.4

abc: 5.763 5.763 5.763
angles: 60.00 60.00 60.00
Each line ends with the local moment (μB).
Sites, in units of the cell vectors:
Ce1 0.500 0.500 0.500  0.69
Th1 0.000 0.000 0.000  0.01
La1 0.250 0.250 0.250  0.06
La2 0.750 0.750 0.750  0.06

***

Record 2
This record from Alexandria via LeMat-Bulk describes crystalline La2Ce2Th3 at its relaxed geometry. The functional is PBE.

Space-group type: Cmmm (65)
Magnetization (μB/atom): 0.0000
E_tot (eV/atom): -6.212
Mass density (Mg/m³): 9.3
Formation enthalpy at 0 K (kJ/mol of atoms): 6.8

abc: 3.524 3.536 18.139
angles: 90.00 95.57 90.00
Sites, in units of the cell vectors:
La1 0.295 0.500 0.591
La2 0.705 0.500 0.409
Ce1 0.136 0.000 0.272
Ce2 0.864 0.000 0.728
Th1 0.430 0.500 0.859
Th2 0.570 0.500 0.141
Th3 0.000 0.000 0.000

***

Record 3
This record from Alexandria via LeMat-Bulk describes crystalline LaCeTh2 at its relaxed geometry. The functional is PBE.

Space-group type: P4/mmm (123)
Magnetization (μB/atom): 0.0001
E_tot (eV/atom): -6.367
E above lowest polymorph (kJ per mole of atoms): 0.3
Mass density (Mg/m³): 9.9
Formation enthalpy at 0 K (kJ/mol of atoms): 5.6

abc: 5.017 4.994 4.994
angles: 90.00 90.00 90.00
Sites, in units of the cell vectors:
Ce1 0.500 0.500 0.500
Th1 0.000 0.000 0.500
Th2 0.000 0.500 0.000
La1 0.500 0.000 0.000

***

Record 4
This record from Alexandria via LeMat-Bulk describes crystalline La2CeTh at its relaxed geometry. The functional is PBE.

Space-group type: P4mm (99)
Magnetization (μB/atom): 0.0000
E_tot (eV/atom): -5.778
E above lowest polymorph (kJ per mole of atoms): 0.0
Mass density (Mg/m³): 8.2
Formation enthalpy at 0 K (kJ/mol of atoms): 2.3

abc: 3.570 3.570 10.290
angles: 90.00 90.00 90.00
Sites, in units of the cell vectors:
La1 0.000 0.000 0.979
La2 0.500 0.500 0.268
Ce1 0.500 0.500 0.739
Th1 0.000 0.000 0.514

***

Record 5
This record from Alexandria via LeMat-Bulk describes crystalline LaCeTh2 at its relaxed geometry. The functional is PBE.

Space-group type: Fm-3m (225)
Magnetization (μB/atom): 0.0044
E_tot (eV/atom): -6.199
E above lowest polymorph (kJ per mole of atoms): 16.4
Mass density (Mg/m³): 9.7
Formation enthalpy at 0 K (kJ/mol of atoms): 21.8

abc: 5.650 5.650 5.650
angles: 60.00 60.00 60.00
Sites, in units of the cell vectors:
Ce1 0.000 0.000 0.000
Th1 0.250 0.250 0.250
Th2 0.750 0.750 0.750
La1 0.500 0.500 0.500

***

Record 6
This record from Alexandria via LeMat-Bulk describes crystalline LaCeThZr at its relaxed geometry. The functional is PBE.

Space-group type: F-43m (216)
Magnetization (μB/atom): 0.1261
E_tot (eV/atom): -6.465
Mass density (Mg/m³): 8.5
Formation enthalpy at 0 K (kJ/mol of atoms): 23.4

abc: 5.501 5.501 5.501
angles: 60.00 60.00 60.00
Each line ends with the local moment (μB).
Sites, in units of the cell vectors:
Zr1 0.250 0.250 0.250  -0.04
Ce1 0.500 0.500 0.500  0.43
Th1 0.000 0.000 0.000  -0.01
La1 0.750 0.750 0.750  0.04

***

Record 7
This record from Alexandria via LeMat-Bulk describes crystalline LaCeTi at its relaxed geometry. The functional is PBE.

Space-group type: P2_1/m (11)
Magnetization (μB/atom): 0.0011
E_tot (eV/atom): -6.077
Mass density (Mg/m³): 6.8
Formation enthalpy at 0 K (kJ/mol of atoms): 16.9

abc: 3.322 4.888 11.016
angles: 90.00 116.82 90.00
Sites, in units of the cell vectors:
La1 0.082 0.250 0.388
La2 0.918 0.750 0.612
Ce1 0.307 0.750 0.207
Ce2 0.693 0.250 0.793
Ti1 0.403 0.750 0.930
Ti2 0.597 0.250 0.070

***

Record 8
This record from Alexandria via LeMat-Bulk describes crystalline LaCe2Ti at its relaxed geometry. The functional is PBE.

Space-group type: P4/mmm (123)
Magnetization (μB/atom): 0.0001
E_tot (eV/atom): -5.982
E above lowest polymorph (kJ per mole of atoms): 0.0
Mass density (Mg/m³): 7.4
Formation enthalpy at 0 K (kJ/mol of atoms): 18.4

abc: 3.216 3.216 10.100
angles: 90.00 90.00 90.00
Sites, in units of the cell vectors:
Ti1 0.500 0.500 0.000
Ce1 0.000 0.000 0.778
Ce2 0.000 0.000 0.222
La1 0.500 0.500 0.500

***

Record 9
This record from Alexandria via LeMat-Bulk describes crystalline LaCe2Ti at its relaxed geometry. The functional is PBE.

Space-group type: R-3m (166)
Magnetization (μB/atom): 0.0020
E_tot (eV/atom): -5.906
E above lowest polymorph (kJ per mole of atoms): 7.4
Mass density (Mg/m³): 7.5
Formation enthalpy at 0 K (kJ/mol of atoms): 25.8

abc: 3.216 3.216 11.686
angles: 82.09 82.09 60.00
Sites, in units of the cell vectors:
Ti1 0.500 0.500 0.500
Ce1 0.092 0.092 0.723
Ce2 0.908 0.908 0.277
La1 0.000 0.000 0.000

***

Record 10
This record from Alexandria via LeMat-Bulk describes crystalline La2CeTi at its relaxed geometry. The functional is PBE.

Space-group type: R-3m (166)
Magnetization (μB/atom): 0.0003
E_tot (eV/atom): -5.478
Mass density (Mg/m³): 7.0
Formation enthalpy at 0 K (kJ/mol of atoms): 42.8

abc: 3.269 3.269 12.040
angles: 82.20 82.20 60.00
Sites, in units of the cell vectors:
Ti1 0.000 0.000 0.000
Ce1 0.500 0.500 0.500
La1 0.080 0.080 0.761
La2 0.920 0.920 0.239

***

Record 11
This record from Alexandria via LeMat-Bulk describes crystalline La6CeTl3 at its relaxed geometry. The functional is PBE.

Space-group type: P2_1/m (11)
Magnetization (μB/atom): 0.0000
E_tot (eV/atom): -4.488
E above lowest polymorph (kJ per mole of atoms): 0.0
Mass density (Mg/m³): 8.2
Formation enthalpy at 0 K (kJ/mol of atoms): -22.1

abc: 5.665 9.690 12.440
angles: 110.23 90.00 90.00
Sites, in units of the cell vectors:
La1 0.250 0.475 0.087
La2 0.750 0.525 0.913
La3 0.250 0.135 0.148
La4 0.750 0.865 0.852
La5 0.250 0.640 0.675
La6 0.750 0.360 0.325
La7 0.250 0.248 0.492
La8 0.750 0.752 0.508
La9 0.250 0.860 0.301
La10 0.750 0.140 0.699
La11 0.250 0.077 0.881
La12 0.750 0.923 0.119
Ce1 0.250 0.936 0.548
Ce2 0.750 0.064 0.452
Tl1 0.250 0.553 0.382
Tl2 0.750 0.447 0.618
Tl3 0.250 0.350 0.778
Tl4 0.750 0.650 0.222
Tl5 0.250 0.764 0.972
Tl6 0.750 0.236 0.028

***

Record 12
This record from Alexandria via LeMat-Bulk describes crystalline La5CeTl5 at its relaxed geometry. The functional is PBE.

Space-group type: C2/m (12)
Magnetization (μB/atom): 0.2692
E_tot (eV/atom): -4.020
Mass density (Mg/m³): 8.2
Formation enthalpy at 0 K (kJ/mol of atoms): -15.9

abc: 6.072 9.458 6.890
angles: 90.24 90.00 108.72
Each line ends with the local moment (μB).
Sites, in units of the cell vectors:
La1 0.664 0.328 0.497  0.18
La2 0.679 0.359 0.997  0.16
La3 0.000 0.000 0.500  0.20
La4 0.321 0.641 0.003  0.16
La5 0.336 0.672 0.503  0.18
Ce1 0.000 0.000 0.000  0.93
Tl1 0.839 0.679 0.258  0.01
Tl2 0.840 0.679 0.743  0.01
Tl3 0.500 0.000 0.000  0.03
Tl4 0.160 0.321 0.257  0.01
Tl5 0.161 0.321 0.742  0.01

***

> Look up the magnetization of the first one.

0.2893 μB/atom

***

> formation enthalpy at 0 K of number 7 (LaCeTi)?

16.9 kJ/mol of atoms

***

> Which value of mass density does entry 6 give?

8.5 Mg/m³

***

> Among the records above, which one has the highest E_tot?

La5CeTl5